# 1
Density functional theory data (PBE) for HfTl2O after structural relaxation.

a b c (Å): 7.362 7.362 6.024
angles (deg): 52.33 52.33 90.00
Atoms (fractional coordinates):
Hf1 0.750 0.250 0.500
Hf2 0.000 0.000 0.000
Tl1 0.875 0.817 0.750
Tl2 0.567 0.125 0.250
Tl3 0.183 0.625 0.250
Tl4 0.375 0.433 0.750
O1 0.500 0.500 0.000
O2 0.250 0.750 0.500

Values from the calculation:
Space-group type: No. 122
Calculated density, g cm⁻³: 12.20
M_tot, μB/cell: 0.000
N(E_F), states/eV/f.u.: 2.15
Energy relative to the elements, uncorrected, eV per atom: 0.096



# 2
Density functional theory data (PBE) for HfTlO2 after structural relaxation.

a b c (Å): 6.246 6.246 6.449
angles (deg): 61.04 61.04 90.00
Atoms (fractional coordinates):
O1 0.361 0.625 0.250
O2 0.389 0.125 0.250
O3 0.375 0.611 0.750
O4 0.875 0.639 0.750
Tl1 0.000 0.000 0.000
Tl2 0.750 0.250 0.500
Hf1 0.250 0.750 0.500
Hf2 0.500 0.500 0.000

Values from the calculation:
Space-group type: No. 122
Calculated density, g cm⁻³: 7.52
M_tot, μB/cell: 0.000
N(E_F), states/eV/f.u.: 1.01
Energy relative to the elements, uncorrected, eV per atom: -2.240



# 3
Density functional theory data (PBE) for HfTlO2 after structural relaxation.

a b c (Å): 7.165 7.165 7.165
angles (deg): 27.88 27.88 27.88
Atoms (fractional coordinates):
Tl1 0.500 0.500 0.500
O1 0.096 0.096 0.096
O2 0.904 0.904 0.904
Hf1 0.000 0.000 0.000

Values from the calculation:
Space-group type: No. 166
Calculated density, g cm⁻³: 9.70
M_tot, μB/cell: 0.000
N(E_F), states/eV/f.u.: 3.66
Energy relative to the elements, uncorrected, eV per atom: -1.071



# 4
Density functional theory data (PBE) for HfUTl2O6 after structural relaxation.

a b c (Å): 5.995 5.995 8.478
angles (deg): 90.00 90.00 90.00
Atoms (fractional coordinates):
U1 0.500 0.250 0.500
U2 0.000 0.750 0.000
Tl1 0.000 0.250 0.250
Tl2 0.000 0.250 0.750
Tl3 0.500 0.750 0.250
Tl4 0.500 0.750 0.750
O1 0.750 0.500 0.000
O2 0.000 0.750 0.750
O3 0.250 0.000 0.000
O4 0.250 0.500 0.000
O5 0.500 0.250 0.750
O6 0.250 0.500 0.500
O7 0.000 0.750 0.250
O8 0.750 0.500 0.500
O9 0.750 0.000 0.000
O10 0.250 0.000 0.500
O11 0.500 0.250 0.250
O12 0.750 0.000 0.500
Hf1 0.500 0.250 0.000
Hf2 0.000 0.750 0.500

Values from the calculation:
Space-group type: No. 225
Calculated density, g cm⁻³: 10.04
M_tot, μB/cell: 0.000
Energy relative to the elements, uncorrected, eV per atom: -2.502



Copy entry 3 word for word.
Density functional theory data (PBE) for HfTlO2 after structural relaxation.

a b c (Å): 7.165 7.165 7.165
angles (deg): 27.88 27.88 27.88
Atoms (fractional coordinates):
Tl1 0.500 0.500 0.500
O1 0.096 0.096 0.096
O2 0.904 0.904 0.904
Hf1 0.000 0.000 0.000

Values from the calculation:
Space-group type: No. 166
Calculated density, g cm⁻³: 9.70
M_tot, μB/cell: 0.000
N(E_F), states/eV/f.u.: 3.66
Energy relative to the elements, uncorrected, eV per atom: -1.071